[1]
## CsNdCl4 (PBE)

Data for crystalline CsNdCl4 at its relaxed geometry.

Cell and atoms, written as extended XYZ:
```
6
Lattice="4.862 0.000 0.000 0.000 4.862 0.000 0.000 0.000 8.273" Properties=species:S:1:pos:R:3 pbc="T T T"
Cs 0.000 0.000 0.000
Nd 2.431 2.431 4.136
Cl 0.000 2.431 2.511
Cl 0.000 2.431 5.762
Cl 2.431 0.000 2.511
Cl 2.431 0.000 5.762
```

As for the symmetry: P4/mmm. The density of states at the Fermi level comes out at 0.00 states/eV/f.u. The calculation puts the energy relative to the lowest polymorph listed for this composition at 0.14 eV/f.u. For the uncorrected energy, the calculation gives -4.324 eV per atom. The value obtained for the uncorrected formation energy is -2.156 eV per atom.

[2]
## CsNd4Cl12 (PBE)

Data for crystalline CsNd4Cl12 at its relaxed geometry.

Cell and atoms, written as extended XYZ:
```
17
Lattice="-5.403 5.403 5.403 5.403 -5.403 5.403 5.403 5.403 -5.403" Properties=species:S:1:pos:R:3 pbc="T T T"
Cs 0.000 0.000 0.000
Nd 2.701 2.701 -2.701
Nd 2.701 -2.701 2.701
Nd -2.701 2.701 2.701
Nd 2.701 2.701 2.701
Cl 5.403 -2.367 3.202
Cl 3.036 2.201 0.000
Cl 7.770 2.201 0.000
Cl 3.202 5.403 -2.367
Cl 2.201 0.000 3.036
Cl 0.000 3.036 2.201
Cl 5.403 2.367 3.202
Cl 3.202 5.403 2.367
Cl 2.201 0.000 7.770
Cl -2.367 3.202 5.403
Cl 2.367 3.202 5.403
Cl 0.000 7.770 2.201
```

As for the symmetry: Im-3. The density of states at the Fermi level comes out at 6.41 states/eV/f.u. For the uncorrected energy, the calculation gives -4.641 eV per atom. The value obtained for the uncorrected formation energy is -2.165 eV per atom.

Look up the density of states at the Fermi level of the second one. 6.41 states/eV/f.u.

density of states at the Fermi level of number 2 (CsNd4Cl12)? 6.41 states/eV/f.u.